Here is an optimized crystal structure of CoIrSCl2 from the Alexandria database. Energies are from PBE-GGA.

Calculated values
**Distance to the lowest polymorph of the same formula**: 0 meV/atom
**N(E_F)**: 1.83 states/eV/atom
**DFT total energy**: -4.055 eV per atom
**Formation energy (no corrections)**: 0.70 eV/atom
**ρ**: 5.35 g/cm³

The structure in CIF format:
```
data_CoIrSCl2
_cell_length_a 4.9733
_cell_length_b 4.9733
_cell_length_c 4.4446
_cell_angle_alpha 90.00
_cell_angle_beta 90.00
_cell_angle_gamma 90.00
_space_group_name_H-M_alt 'P 4/m m m'
_space_group_IT_number 123
_space_group_name_Hall '-P 4 2'
loop_
_atom_site_label
_atom_site_type_symbol
_atom_site_fract_x
_atom_site_fract_y
_atom_site_fract_z
Co1 Co 0.0000 0.0000 0.0000
Ir1 Ir 0.5000 0.5000 0.5000
S1 S 0.5000 0.5000 0.0000
Cl1 Cl 0.0000 0.5000 0.5000
```

=====

Here is an optimized crystal structure of KPm4Sn4 from the Alexandria database. Energies are from PBE-GGA.

Calculated values
**N(E_F)**: 0.69 states/eV/atom
**DFT total energy**: -4.469 eV per atom
**ρ**: 5.27 g/cm³
**Calculated formation energy**: -4.1 eV per formula unit

The structure in CIF format:
```
data_KPm4Sn4
_cell_length_a 10.4927
_cell_length_b 10.4927
_cell_length_c 6.2663
_cell_angle_alpha 90.00
_cell_angle_beta 90.00
_cell_angle_gamma 90.00
_space_group_name_H-M_alt 'P 42/n'
_space_group_IT_number 86
loop_
_space_group_symop_operation_xyz
'x,y,z'
'-x,-y,-z'
'-y,x+1/2,z+1/2'
'y,-x+1/2,-z+1/2'
'-x+1/2,-y+1/2,z'
'x+1/2,y+1/2,-z'
'y+1/2,-x,z+1/2'
'-y+1/2,x,-z+1/2'
loop_
_atom_site_label
_atom_site_type_symbol
_atom_site_fract_x
_atom_site_fract_y
_atom_site_fract_z
K1 K 0.2500 0.2500 0.2500
Pm1 Pm 0.1164 0.6286 0.1416
Sn1 Sn 0.0673 0.5811 0.6529
```

=====

Here is an optimized crystal structure of BaY2Au from the Alexandria database. Energies are from PBE-GGA.

Calculated values
**Distance to the lowest polymorph of the same formula**: 158 meV/atom
**N(E_F)**: 0.83 states/eV/atom
**DFT total energy**: -4.676 eV per atom
**ρ**: 6.01 g/cm³
**Calculated formation energy**: -0.6 eV per formula unit

The structure in CIF format:
```
data_BaY2Au
_cell_length_a 9.0529
_cell_length_b 9.0529
_cell_length_c 6.9098
_cell_angle_alpha 90.00
_cell_angle_beta 90.00
_cell_angle_gamma 90.00
_space_group_name_H-M_alt 'I -4 2 d'
_space_group_IT_number 122
_space_group_name_Hall 'I -4 2bw'
loop_
_atom_site_label
_atom_site_type_symbol
_atom_site_fract_x
_atom_site_fract_y
_atom_site_fract_z
Ba1 Ba 0.0000 0.0000 0.0000
Y1 Y 0.1720 0.2500 0.6250
Au1 Au 0.0000 0.0000 0.5000
```

=====

Here is an optimized crystal structure of Pu8Ir5Rh from the Alexandria database. Energies are from PBE-GGA.

Calculated values
**N(E_F)**: 3.72 states/eV/atom
**DFT total energy**: -12.322 eV per atom
**ρ**: 16.28 g/cm³
**Calculated formation energy**: -6.2 eV per formula unit

The structure in CIF format:
```
data_Pu8Ir5Rh
_cell_length_a 8.5000
_cell_length_b 8.5000
_cell_length_c 8.5133
_cell_angle_alpha 90.00
_cell_angle_beta 90.00
_cell_angle_gamma 90.00
_space_group_name_H-M_alt 'I -4'
_space_group_IT_number 82
loop_
_space_group_symop_operation_xyz
'x,y,z'
'y,-x,-z'
'-x,-y,z'
'-y,x,-z'
'x+1/2,y+1/2,z+1/2'
'y+1/2,-x+1/2,-z+1/2'
'-x+1/2,-y+1/2,z+1/2'
'-y+1/2,x+1/2,-z+1/2'
loop_
_atom_site_label
_atom_site_type_symbol
_atom_site_fract_x
_atom_site_fract_y
_atom_site_fract_z
Pu1 Pu 0.0691 0.1787 0.1961
Pu2 Pu 0.0722 0.3193 0.5570
Ir1 Ir 0.0000 0.0000 0.5000
Ir2 Ir 0.1256 0.2512 0.8775
Rh1 Rh 0.0000 0.5000 0.2500
```

=====

Here is an optimized crystal structure of ReTe2Rh from the Alexandria database. Energies are from PBE-GGA.

Calculated values
**Distance to the lowest polymorph of the same formula**: 689 meV/atom
**N(E_F)**: 1.12 states/eV/atom
**DFT total energy**: -5.654 eV per atom
**Formation energy (no corrections)**: 0.87 eV/atom
**ρ**: 11.55 g/cm³

The structure in CIF format:
```
data_ReTe2Rh
_cell_length_a 3.2518
_cell_length_b 4.4161
_cell_length_c 5.4493
_cell_angle_alpha 90.00
_cell_angle_beta 90.00
_cell_angle_gamma 90.00
_space_group_name_H-M_alt 'P m m m'
_space_group_IT_number 47
loop_
_space_group_symop_operation_xyz
'x,y,z'
'-x,-y,-z'
'-x,-y,z'
'x,y,-z'
'x,-y,-z'
'-x,y,z'
'-x,y,-z'
'x,-y,z'
loop_
_atom_site_label
_atom_site_type_symbol
_atom_site_fract_x
_atom_site_fract_y
_atom_site_fract_z
Re1 Re 0.0000 0.0000 0.0000
Te1 Te 0.0000 0.5000 0.5000
Te2 Te 0.5000 0.5000 0.0000
Rh1 Rh 0.5000 0.0000 0.5000
```

=====

Here is an optimized crystal structure of AcPd2F11 from the Alexandria database. Energies are from PBE-GGA.

Calculated values
**DFT total energy**: -4.552 eV per atom
**Formation energy (no corrections)**: -2.05 eV/atom
**ρ**: 4.81 g/cm³

The structure in CIF format:
```
data_AcPd2F11
_cell_length_a 9.0841
_cell_length_b 9.0841
_cell_length_c 10.8572
_cell_angle_alpha 90.00
_cell_angle_beta 90.00
_cell_angle_gamma 90.00
_space_group_name_H-M_alt 'I 4/m c m'
_space_group_IT_number 140
_space_group_name_Hall '-I 4 2c'
loop_
_atom_site_label
_atom_site_type_symbol
_atom_site_fract_x
_atom_site_fract_y
_atom_site_fract_z
Ac1 Ac 0.0000 0.0000 0.2500
Pd1 Pd 0.1603 0.3397 0.0000
F1 F 0.0000 0.5000 0.0000
F2 F 0.0584 0.2283 0.1283
F3 F 0.1935 0.3065 0.5000
```

=====

Here is an optimized crystal structure of YPuTeO2 from the Alexandria database. Energies are from PBE-GGA.

Calculated values
**N(E_F)**: 2.04 states/eV/atom
**DFT total energy**: -9.434 eV per atom
**Formation energy (no corrections)**: -2.66 eV/atom
**ρ**: 8.28 g/cm³

The structure in CIF format:
```
data_YPuTeO2
_cell_length_a 3.9475
_cell_length_b 3.9475
_cell_length_c 12.6727
_cell_angle_alpha 90.00
_cell_angle_beta 90.00
_cell_angle_gamma 90.00
_space_group_name_H-M_alt 'I 4 m m'
_space_group_IT_number 107
_space_group_name_Hall 'I 4 -2'
loop_
_atom_site_label
_atom_site_type_symbol
_atom_site_fract_x
_atom_site_fract_y
_atom_site_fract_z
Y1 Y 0.0000 0.0000 0.0000
Pu1 Pu 0.0000 0.0000 0.3169
Te1 Te 0.0000 0.0000 0.6627
O1 O 0.0000 0.5000 0.4143
```

=====

Here is an optimized crystal structure of La2Zn3Ru from the Alexandria database. Energies are from PBE-GGA.

Calculated values
**Distance to the lowest polymorph of the same formula**: 0 meV/atom
**N(E_F)**: 0.87 states/eV/atom
**DFT total energy**: -4.109 eV per atom
**ρ**: 7.87 g/cm³
**Calculated formation energy**: -1.7 eV per formula unit

The structure in CIF format:
```
data_La2Zn3Ru
_cell_length_a 9.4468
_cell_length_b 5.4865
_cell_length_c 5.6434
_cell_angle_alpha 90.00
_cell_angle_beta 123.95
_cell_angle_gamma 90.00
_space_group_name_H-M_alt 'C 1 2/m 1'
_space_group_IT_number 12
loop_
_space_group_symop_operation_xyz
'x,y,z'
'-x,-y,-z'
'-x,y,-z'
'x,-y,z'
'x+1/2,y+1/2,z'
'-x+1/2,-y+1/2,-z'
'-x+1/2,y+1/2,-z'
'x+1/2,-y+1/2,z'
loop_
_atom_site_label
_atom_site_type_symbol
_atom_site_fract_x
_atom_site_fract_y
_atom_site_fract_z
La1 La 0.1306 0.0000 0.3906
Zn1 Zn 0.0000 0.5000 0.0000
Zn2 Zn 0.2500 0.2500 0.0000
Ru1 Ru 0.0000 0.5000 0.5000
```

=====

Here is an optimized crystal structure of Na2LiMg2Sn5 from the Alexandria database. Energies are from PBE-GGA.

Calculated values
**N(E_F)**: 0.40 states/eV/atom
**DFT total energy**: -2.925 eV per atom
**ρ**: 4.45 g/cm³
**Calculated formation energy**: -1.5 eV per formula unit

The structure in CIF format:
```
data_Na2LiMg2Sn5
_cell_length_a 10.7773
_cell_length_b 10.7773
_cell_length_c 4.4637
_cell_angle_alpha 90.00
_cell_angle_beta 90.00
_cell_angle_gamma 90.00
_space_group_name_H-M_alt 'P 4/m b m'
_space_group_IT_number 127
_space_group_name_Hall '-P 4 2ab'
loop_
_atom_site_label
_atom_site_type_symbol
_atom_site_fract_x
_atom_site_fract_y
_atom_site_fract_z
Na1 Na 0.1734 0.3266 0.0000
Li1 Li 0.0000 0.0000 0.0000
Mg1 Mg 0.1265 0.6265 0.0000
Sn1 Sn 0.0000 0.5000 0.5000
Sn2 Sn 0.0621 0.8051 0.5000
```

=====

Here is an optimized crystal structure of Ba2PaAgO6 from the Alexandria database. Energies are from PBE-GGA.

Calculated values
**N(E_F)**: 0.18 states/eV/atom
**DFT total energy**: -7.018 eV per atom
**Formation energy (no corrections)**: -2.42 eV/atom
**ρ**: 7.12 g/cm³

The structure in CIF format:
```
data_Ba2PaAgO6
_cell_length_a 4.3732
_cell_length_b 4.3732
_cell_length_c 8.6504
_cell_angle_alpha 90.00
_cell_angle_beta 90.00
_cell_angle_gamma 90.00
_space_group_name_H-M_alt 'P 4/m m m'
_space_group_IT_number 123
_space_group_name_Hall '-P 4 2'
loop_
_atom_site_label
_atom_site_type_symbol
_atom_site_fract_x
_atom_site_fract_y
_atom_site_fract_z
Ba1 Ba 0.0000 0.0000 0.2105
Pa1 Pa 0.5000 0.5000 0.5000
Ag1 Ag 0.5000 0.5000 0.0000
O1 O 0.0000 0.5000 0.0000
O2 O 0.0000 0.5000 0.5000
O3 O 0.5000 0.5000 0.2549
```

=====

Here is an optimized crystal structure of Sr3PmHo3S8 from the Alexandria database. Energies are from PBE-GGA.

Calculated values
**N(E_F)**: 0.32 states/eV/atom
**DFT total energy**: -5.838 eV per atom
**Formation energy (no corrections)**: -2.07 eV/atom
**ρ**: 5.06 g/cm³

The structure in CIF format:
```
data_Sr3PmHo3S8
_cell_length_a 8.0105
_cell_length_b 8.0105
_cell_length_c 20.5308
_cell_angle_alpha 90.00
_cell_angle_beta 90.00
_cell_angle_gamma 120.00
_space_group_name_H-M_alt 'R -3 m'
_space_group_IT_number 166
_space_group_name_Hall '-R 3 2"'
loop_
_atom_site_label
_atom_site_type_symbol
_atom_site_fract_x
_atom_site_fract_y
_atom_site_fract_z
Sr1 Sr 0.0000 0.5000 0.0000
Pm1 Pm 0.0000 0.0000 0.5000
Ho1 Ho 0.0000 0.5000 0.5000
S1 S 0.0000 0.0000 0.2424
S2 S 0.0073 0.5036 0.7577
```

=====

Here is an optimized crystal structure of Ti2Zn3Ga3 from the Alexandria database. Energies are from PBE-GGA.

Calculated values
**N(E_F)**: 0.53 states/eV/atom
**DFT total energy**: -3.948 eV per atom
**ρ**: 6.85 g/cm³
**Calculated formation energy**: -2.9 eV per formula unit

The structure in CIF format:
```
data_Ti2Zn3Ga3
_cell_length_a 3.8846
_cell_length_b 3.9184
_cell_length_c 7.9778
_cell_angle_alpha 90.00
_cell_angle_beta 90.00
_cell_angle_gamma 90.00
_space_group_name_H-M_alt 'P m m m'
_space_group_IT_number 47
loop_
_space_group_symop_operation_xyz
'x,y,z'
'-x,-y,-z'
'-x,-y,z'
'x,y,-z'
'x,-y,-z'
'-x,y,z'
'-x,y,-z'
'x,-y,z'
loop_
_atom_site_label
_atom_site_type_symbol
_atom_site_fract_x
_atom_site_fract_y
_atom_site_fract_z
Ti1 Ti 0.0000 0.0000 0.2451
Zn1 Zn 0.0000 0.5000 0.0000
Zn2 Zn 0.0000 0.5000 0.5000
Zn3 Zn 0.5000 0.0000 0.5000
Ga1 Ga 0.5000 0.0000 0.0000
Ga2 Ga 0.5000 0.5000 0.2570
```